A plane-wave DFT calculation with PBE was carried out for a relaxed structure of Ca2SbTe.

Its formation energy without anion corrections is -4.52 eV per formula unit. The total energy is -3.95 eV/atom. Its density of states at the Fermi level is 1.781 states/eV per cell. As for the distance to the lowest polymorph of the same formula: 3.1 kJ per mole of atoms. As for the total magnetization: 0.0 μB/f.u.

a = 4.025 Å, b = 4.971 Å, c = 6.456 Å
α = 90.00°, β = 90.00°, γ = 90.00°
Space group Pmmm (No. 47)
Inequivalent atoms, fractional coordinates:
Ca1 0.000 0.000 0.000
Ca2 0.500 0.500 0.500
Sb1 0.000 0.000 0.500
Te1 0.500 0.500 0.000

A plane-wave DFT calculation with PBE was carried out for a relaxed structure of CaSbTe3.

Its formation energy without anion corrections is -0.89 eV per formula unit. The total energy is -3.29 eV/atom. Its density of states at the Fermi level is 3.443 states/eV per cell. As for the distance to the lowest polymorph of the same formula: 0.0 kJ per mole of atoms. As for the total magnetization: 0.0 μB/f.u.

a = 5.744 Å, b = 5.744 Å, c = 5.744 Å
α = 90.00°, β = 90.00°, γ = 90.00°
Space group Pm-3m (No. 221)
Inequivalent atoms, fractional coordinates:
Ca1 0.000 0.000 0.000
Sb1 0.500 0.500 0.500
Te1 0.000 0.500 0.500

A plane-wave DFT calculation with PBE was carried out for a relaxed structure of CaSb2Te.

Its formation energy without anion corrections is -1.42 eV per formula unit. The total energy is -3.70 eV/atom. Its density of states at the Fermi level is 4.076 states/eV per cell. As for the total magnetization: 0.0 μB/f.u.

a = 6.771 Å, b = 8.519 Å, c = 3.944 Å
α = 90.00°, β = 90.00°, γ = 90.00°
Space group Cmmm (No. 65)
Inequivalent atoms, fractional coordinates:
Ca1 0.000 0.000 0.000
Sb1 0.250 0.250 0.500
Te1 0.000 0.500 0.000

Question: Among the records above, which one has the highest formation energy without anion corrections?
Answer: CaSbTe3

Question: What is the formula in the second record?
Answer: CaSbTe3

Question: What is the formation energy without anion corrections in the second record?
Answer: -0.89 eV per formula unit

Question: The lowest formation energy without anion corrections belongs to which entry?
Answer: Ca2SbTe